The following is a DFT calculation (GGA-PBE) of crystalline Li2GaAs at its relaxed geometry.

Results
The calculation puts the density of states at the Fermi level at 0.94 states/eV/f.u. Its symmetry is P4/mmm, No. 123. The calculated total energy is -3.31 eV per atom. The value obtained for the total magnetization is 0.00 μB/f.u.

Structure (POSCAR):
```
Li2GaAs
1.0
-2.452 -2.434 -2.075
3.103 -1.378 -2.050
0.528 -2.845 2.712
Ga Li As
1 2 1
Cartesian
-1.226 -1.217 -1.038
0.264 -1.422 1.356
1.551 -0.689 -1.025
0.590 -3.329 -0.706
```